[1]
An optimized crystal structure of NaCoTeI2. Source: Alexandria, functional PBE.

E_form (uncorrected) = -147 meV per atom
Total moment = 1.3 μB per formula unit
E_tot = -0.1132 hartree per atom
E above lowest polymorph = 0 meV per atom

CIF file:
```
data_NaCoTeI2
_chemical_formula_sum 'Na1 Co1 Te1 I2'
_space_group_name_H-M_alt 'P 4/m m m'
_space_group_IT_number 123
_space_group_name_Hall '-P 4 2'
_cell_length_a 5.6664
_cell_length_b 5.6664
_cell_length_c 4.8724
_cell_angle_alpha 90.00
_cell_angle_beta 90.00
_cell_angle_gamma 90.00
loop_
_atom_site_label
_atom_site_type_symbol
_atom_site_fract_x
_atom_site_fract_y
_atom_site_fract_z
_atom_site_occupancy
Na1 Na 0.0000 0.0000 0.0000 1
Co1 Co 0.5000 0.5000 0.5000 1
Te1 Te 0.5000 0.5000 0.0000 1
I1 I 0.0000 0.5000 0.5000 1
```


[2]
An optimized crystal structure of NaCoTeI2. Source: Alexandria, functional PBE.

E_form (uncorrected) = 825 meV per atom
Total moment = 2.8 μB per formula unit
E_tot = -0.0775 hartree per atom
E above lowest polymorph = 972 meV per atom

CIF file:
```
data_NaCoTeI2
_chemical_formula_sum 'Na1 Co1 Te1 I2'
_space_group_name_H-M_alt 'P 4/m m m'
_space_group_IT_number 123
_space_group_name_Hall '-P 4 2'
_cell_length_a 5.7277
_cell_length_b 5.7277
_cell_length_c 5.7389
_cell_angle_alpha 90.00
_cell_angle_beta 90.00
_cell_angle_gamma 90.00
loop_
_atom_site_label
_atom_site_type_symbol
_atom_site_fract_x
_atom_site_fract_y
_atom_site_fract_z
_atom_site_occupancy
Na1 Na 0.0000 0.0000 0.0000 1
Co1 Co 0.5000 0.5000 0.5000 1
Te1 Te 0.0000 0.0000 0.5000 1
I1 I 0.0000 0.5000 0.0000 1
```


[3]
An optimized crystal structure of NbCo3I. Source: Alexandria, functional PBE.

E_form (uncorrected) = 1476 meV per atom
Total moment = 1.0 μB per formula unit
E_tot = -0.1878 hartree per atom
E above lowest polymorph = 0 meV per atom

CIF file:
```
data_NbCo3I
_chemical_formula_sum 'Nb1 Co3 I1'
_space_group_name_H-M_alt 'P m -3 m'
_space_group_IT_number 221
_space_group_name_Hall '-P 4 2 3'
_cell_length_a 4.5779
_cell_length_b 4.5779
_cell_length_c 4.5779
_cell_angle_alpha 90.00
_cell_angle_beta 90.00
_cell_angle_gamma 90.00
loop_
_atom_site_label
_atom_site_type_symbol
_atom_site_fract_x
_atom_site_fract_y
_atom_site_fract_z
_atom_site_occupancy
Nb1 Nb 0.0000 0.0000 0.0000 1
Co1 Co 0.0000 0.0000 0.5000 1
I1 I 0.5000 0.5000 0.5000 1
```


[4]
An optimized crystal structure of NbCo3I. Source: Alexandria, functional PBE.

E_form (uncorrected) = 1579 meV per atom
Total moment = 4.1 μB per formula unit
E_tot = -0.1841 hartree per atom
E above lowest polymorph = 103 meV per atom

CIF file:
```
data_NbCo3I
_chemical_formula_sum 'Nb1 Co3 I1'
_space_group_name_H-M_alt 'P m -3 m'
_space_group_IT_number 221
_space_group_name_Hall '-P 4 2 3'
_cell_length_a 4.5120
_cell_length_b 4.5120
_cell_length_c 4.5120
_cell_angle_alpha 90.00
_cell_angle_beta 90.00
_cell_angle_gamma 90.00
loop_
_atom_site_label
_atom_site_type_symbol
_atom_site_fract_x
_atom_site_fract_y
_atom_site_fract_z
_atom_site_occupancy
Nb1 Nb 0.0000 0.0000 0.0000 1
Co1 Co 0.0000 0.5000 0.5000 1
I1 I 0.5000 0.5000 0.5000 1
```


[5]
An optimized crystal structure of NbCo2I. Source: Alexandria, functional PBE.

E_form (uncorrected) = 810 meV per atom
Total moment = 0.5 μB per formula unit
E_tot = -0.2076 hartree per atom
E above lowest polymorph = 0 meV per atom

CIF file:
```
data_NbCo2I
_chemical_formula_sum 'Nb4 Co8 I4'
_space_group_name_H-M_alt 'F m -3 m'
_space_group_IT_number 225
_space_group_name_Hall '-F 4 2 3'
_cell_length_a 6.3001
_cell_length_b 6.3001
_cell_length_c 6.3001
_cell_angle_alpha 90.00
_cell_angle_beta 90.00
_cell_angle_gamma 90.00
loop_
_atom_site_label
_atom_site_type_symbol
_atom_site_fract_x
_atom_site_fract_y
_atom_site_fract_z
_atom_site_occupancy
Nb1 Nb 0.0000 0.0000 0.0000 1
Co1 Co 0.2500 0.2500 0.2500 1
I1 I 0.0000 0.0000 0.5000 1
```


[6]
An optimized crystal structure of NbCoI. Source: Alexandria, functional PBE.

E_form (uncorrected) = 499 meV per atom
Total moment = 0.2 μB per formula unit
E_tot = -0.2111 hartree per atom

CIF file:
```
data_NbCoI
_chemical_formula_sum 'Nb2 Co2 I2'
_space_group_name_H-M_alt 'P -6 m 2'
_space_group_IT_number 187
_space_group_name_Hall 'P -6 2'
_cell_length_a 3.5717
_cell_length_b 3.5717
_cell_length_c 10.9232
_cell_angle_alpha 90.00
_cell_angle_beta 90.00
_cell_angle_gamma 120.00
loop_
_atom_site_label
_atom_site_type_symbol
_atom_site_fract_x
_atom_site_fract_y
_atom_site_fract_z
_atom_site_occupancy
Nb1 Nb 0.0000 0.0000 0.1303 1
Co1 Co 0.0000 0.0000 0.5000 1
Co2 Co 0.3333 0.6667 0.0000 1
I1 I 0.3333 0.6667 0.3324 1
```


[7]
An optimized crystal structure of NbCoI3. Source: Alexandria, functional PBE.

E_form (uncorrected) = 816 meV per atom
Total moment = 5.5 μB per formula unit
E_tot = -0.1304 hartree per atom

CIF file:
```
data_NbCoI3
_chemical_formula_sum 'Nb1 Co1 I3'
_space_group_name_H-M_alt 'P m -3 m'
_space_group_IT_number 221
_space_group_name_Hall '-P 4 2 3'
_cell_length_a 5.7059
_cell_length_b 5.7059
_cell_length_c 5.7059
_cell_angle_alpha 90.00
_cell_angle_beta 90.00
_cell_angle_gamma 90.00
loop_
_atom_site_label
_atom_site_type_symbol
_atom_site_fract_x
_atom_site_fract_y
_atom_site_fract_z
_atom_site_occupancy
Nb1 Nb 0.0000 0.0000 0.0000 1
Co1 Co 0.5000 0.5000 0.5000 1
I1 I 0.0000 0.0000 0.5000 1
```


[8]
An optimized crystal structure of NbCo2I. Source: Alexandria, functional PBE.

E_form (uncorrected) = 864 meV per atom
Total moment = 0.0 μB per formula unit
E_tot = -0.2056 hartree per atom
E above lowest polymorph = 54 meV per atom

CIF file:
```
data_NbCo2I
_chemical_formula_sum 'Nb4 Co8 I4'
_space_group_name_H-M_alt 'I -4 2 d'
_space_group_IT_number 122
_space_group_name_Hall 'I -4 2bw'
_cell_length_a 5.8063
_cell_length_b 5.8063
_cell_length_c 10.1451
_cell_angle_alpha 90.00
_cell_angle_beta 90.00
_cell_angle_gamma 90.00
loop_
_atom_site_label
_atom_site_type_symbol
_atom_site_fract_x
_atom_site_fract_y
_atom_site_fract_z
_atom_site_occupancy
Nb1 Nb 0.0000 0.0000 0.0000 1
Co1 Co 0.2363 0.2500 0.1250 1
I1 I 0.0000 0.0000 0.5000 1
```